[1]
Li2TmCd: relaxed, GGA-PBE.

Geometry as POSCAR:
```
Li2TmCd
1.0
4.636 0.000 0.000
0.000 4.449 0.000
0.000 0.000 4.449
Li Cd Tm
2 1 1
direct
0.000 0.500 0.000
0.000 0.000 0.500
0.500 0.000 0.000
0.500 0.500 0.500
```

Results
D(E_F) in states/eV/f.u.: 4.8
SG: P4/mmm, No. 123
Energy relative to the lowest polymorph listed for this composition in meV per atom: 64.1

[2]
Li2TmCd2: relaxed, GGA-PBE.

Geometry as POSCAR:
```
Li2TmCd2
1.0
3.327 0.000 -0.910
-0.874 6.056 -3.195
1.041 -0.254 10.342
Li Cd Tm
4 4 2
direct
0.204 0.055 0.407
0.796 0.945 0.593
0.797 0.445 0.593
0.203 0.555 0.407
0.381 0.323 0.763
0.618 0.177 0.237
0.382 0.823 0.763
0.619 0.677 0.237
0.000 0.750 0.000
0.000 0.250 0.000
```

Results
D(E_F) in states/eV/f.u.: 2.3
SG: C2/m, No. 12
Energy relative to the lowest polymorph listed for this composition in meV per atom: 0.0

Q: Which formation energy from the elements values were calculated for the entries above? A: 1 -22, in kJ per mole of atoms.